[1]
Material: Mn7Re
Method: DFT, PBE-GGA
State: relaxed

* E_form: 91 meV/atom
* E_tot: -75.91 eV/f.u.
* V: 11.68 A^3/atom
* DOS(E_F): 11.87 states/eV/f.u.

a = 5.0935 Å, b = 5.0935 Å, c = 5.0935 Å
α = 60.00°, β = 60.00°, γ = 60.00°
Closest atoms and distances in Å follow each position.
Fractional coordinates of all 8 atoms:
Mn 0.0000 0.0000 0.0000  12 Mn 2.55
Mn 0.0000 0.0000 0.5000  10 Mn 2.55, 2 Re 2.55
Mn 0.0000 0.5000 0.0000  10 Mn 2.55, 2 Re 2.55
Mn 0.0000 0.5000 0.5000  10 Mn 2.55, 2 Re 2.55
Mn 0.5000 0.0000 0.0000  10 Mn 2.55, 2 Re 2.55
Mn 0.5000 0.0000 0.5000  10 Mn 2.55, 2 Re 2.55
Mn 0.5000 0.5000 0.0000  10 Mn 2.55, 2 Re 2.55
Re 0.5000 0.5000 0.5000  12 Mn 2.55

[2]
Material: Mn3Re
Method: DFT, PBE-GGA
State: relaxed

* E_form: 115 meV/atom
* E_tot: -39.50 eV/f.u.
* V: 12.25 A^3/atom
* DOS(E_F): 4.87 states/eV/f.u.

a = 2.9512 Å, b = 2.9512 Å, c = 5.6245 Å
α = 90.00°, β = 90.00°, γ = 90.00°
Closest atoms and distances in Å follow each position.
Fractional coordinates of all 4 atoms:
Mn 0.0000 0.0000 0.0000  8 Mn 2.48
Mn 0.5000 0.5000 0.2377  5 Mn 2.48-2.67, 4 Re 2.56
Mn 0.5000 0.5000 0.7623  5 Mn 2.48-2.67, 4 Re 2.56
Re 0.0000 0.0000 0.5000  10 Mn 2.56-2.81

[3]
Material: Mn2Re
Method: DFT, PBE-GGA
State: relaxed

* E_form: 100 meV/atom
* E_tot: -30.49 eV/f.u.
* V: 12.54 A^3/atom
* DOS(E_F): 3.63 states/eV/f.u.

a = 4.9620 Å, b = 4.9620 Å, c = 6.2002 Å
α = 103.68°, β = 103.68°, γ = 30.56°
Closest atoms and distances in Å follow each position.
Fractional coordinates of all 6 atoms:
Mn 0.0000 0.0000 0.0000  7 Mn 2.54-2.73, 5 Re 2.57-2.65
Mn 0.0609 0.0609 0.6238  8 Mn 2.52-2.63, 4 Re 2.57
Mn 0.3419 0.3419 0.6767  3 Re 2.52-2.62, 9 Mn 2.56-2.63
Mn 0.6684 0.6684 0.3574  4 Re 2.52-2.70, 8 Mn 2.52-2.73
Re 0.3990 0.3990 0.3005  8 Mn 2.52-2.66, 4 Re 2.62-2.75
Re 0.7206 0.7206 0.9483  8 Mn 2.57-2.70, 4 Re 2.62-2.75

[4]
Material: Mn3Re
Method: DFT, PBE-GGA
State: relaxed

* E_form: 1766 meV/atom
* E_tot: -32.89 eV/f.u.
* V: 27.62 A^3/atom
* DOS(E_F): 3.88 states/eV/f.u.

a = 4.7987 Å, b = 4.7987 Å, c = 4.7987 Å
α = 90.00°, β = 90.00°, γ = 90.00°
Closest atoms and distances in Å follow each position.
Fractional coordinates of all 4 atoms:
Mn 0.0000 0.0000 0.5000  2 Re 2.40
Mn 0.0000 0.5000 0.0000  2 Re 2.40
Mn 0.5000 0.0000 0.0000  2 Re 2.40
Re 0.0000 0.0000 0.0000  6 Mn 2.40